P.
{"formula": "Pm4Dy5Er2", "functional": "PBE", "state": "relaxed", "dos_at_fermi_per_ev_atom": 1.494, "mass_density_g_cm3": 8.03, "spacegroup": "C2/m", "lattice": [[-2.610, -4.479, 2.236], [-1.066, -2.408, -6.068], [9.670, -2.364, -0.576]], "species": ["Pm", "Pm", "Pm", "Pm", "Dy", "Dy", "Dy", "Dy", "Dy", "Er", "Er"], "frac_coords": [[0.306, 0.929, 0.611], [0.980, 0.712, 0.961], [0.694, 0.071, 0.389], [0.020, 0.288, 0.039], [0.792, 0.598, 0.584], [0.208, 0.402, 0.416], [0.870, 0.107, 0.740], [0.500, 0.000, 0.000], [0.130, 0.893, 0.260], [0.403, 0.447, 0.805], [0.597, 0.553, 0.195]]}

Q.
{"formula": "Pm4Dy5Er2", "functional": "PBE", "state": "relaxed", "dos_at_fermi_per_ev_atom": 1.514, "mass_density_g_cm3": 7.75, "spacegroup": "Immm", "lattice": [[-2.988, -1.520, -0.988], [-0.754, -3.920, 8.307], [-4.012, 11.837, 0.109]], "species": ["Pm", "Pm", "Pm", "Pm", "Dy", "Dy", "Dy", "Dy", "Dy", "Er", "Er"], "frac_coords": [[0.000, 0.297, 0.000], [0.596, 0.596, 0.193], [0.000, 0.703, 0.000], [0.404, 0.404, 0.807], [0.851, 0.052, 0.703], [0.851, 0.650, 0.703], [0.149, 0.350, 0.297], [0.149, 0.948, 0.297], [0.500, 0.000, 0.000], [0.270, 0.270, 0.540], [0.730, 0.730, 0.460]]}

What should be chosen as the most stable of them? Choose P.

P.
{"formula": "Pm3Dy3Er2", "functional": "PBE", "state": "relaxed", "dos_at_fermi_per_ev_atom": 1.469, "mass_density_g_cm3": 8.09, "spacegroup": "Immm", "lattice": [[-4.645, -0.898, 1.771], [0.421, -4.851, -1.357], [5.993, 0.676, 8.858]], "species": ["Pm", "Pm", "Pm", "Dy", "Dy", "Dy", "Er", "Er"], "frac_coords": [[0.126, 0.126, 0.252], [0.000, 0.500, 0.000], [0.874, 0.874, 0.748], [0.627, 0.627, 0.253], [0.373, 0.373, 0.747], [0.500, 0.000, 0.000], [0.750, 0.250, 0.501], [0.250, 0.750, 0.499]]}

Q.
{"formula": "Pm3Dy3Er2", "functional": "PBE", "state": "relaxed", "dos_at_fermi_per_ev_atom": 1.711, "mass_density_g_cm3": 8.00, "spacegroup": "C2/m", "lattice": [[5.617, 0.000, -1.057], [-0.371, 5.651, -1.970], [-1.289, -0.398, 8.606]], "species": ["Pm", "Pm", "Pm", "Dy", "Dy", "Dy", "Er", "Er"], "frac_coords": [[0.365, 0.927, 0.731], [0.500, 0.500, 0.000], [0.635, 0.073, 0.269], [0.867, 0.314, 0.734], [0.133, 0.686, 0.266], [0.000, 0.000, 0.000], [0.750, 0.682, 0.499], [0.250, 0.318, 0.501]]}

What should be chosen as the most stable of them? Choose P.

P.
{"formula": "PmDyEr4", "functional": "PBE", "state": "relaxed", "dos_at_fermi_per_ev_atom": 1.652, "mass_density_g_cm3": 8.67, "spacegroup": "Pmmm", "lattice": [[3.331, -0.897, 0.001], [-1.871, 6.301, 0.001], [-0.002, -0.002, 9.690]], "species": ["Pm", "Dy", "Er", "Er", "Er", "Er"], "frac_coords": [[0.997, 0.001, 0.502], [0.497, 0.501, 0.002], [0.997, 0.501, 0.671], [0.997, 0.501, 0.333], [0.497, 0.001, 0.167], [0.497, 0.001, 0.837]]}

Q.
{"formula": "PmDyEr4", "functional": "PBE", "state": "relaxed", "dos_at_fermi_per_ev_atom": 1.646, "mass_density_g_cm3": 8.53, "spacegroup": "Imma", "lattice": [[-1.420, -1.114, -5.787], [4.768, -2.953, -0.601], [-7.018, -7.219, 6.286]], "species": ["Pm", "Pm", "Dy", "Dy", "Er", "Er", "Er", "Er", "Er", "Er", "Er", "Er"], "frac_coords": [[0.500, 0.500, 0.500], [0.000, 0.000, 0.500], [0.173, 0.750, 0.000], [0.827, 0.250, 0.000], [0.342, 0.909, 0.317], [0.975, 0.409, 0.317], [0.754, 0.832, 0.163], [0.409, 0.332, 0.163], [0.246, 0.168, 0.837], [0.591, 0.668, 0.837], [0.658, 0.091, 0.683], [0.025, 0.591, 0.683]]}

R.
{"formula": "PmDyEr4", "functional": "PBE", "state": "relaxed", "dos_at_fermi_per_ev_atom": 2.063, "mass_density_g_cm3": 8.16, "spacegroup": "F-43m", "lattice": [[-5.161, 2.796, -2.910], [-0.414, 0.107, -6.538], [-4.444, -3.715, -3.062]], "species": ["Dy", "Pm", "Er", "Er", "Er", "Er"], "frac_coords": [[0.000, 0.000, 0.000], [0.250, 0.250, 0.250], [0.625, 0.625, 0.124], [0.625, 0.124, 0.625], [0.625, 0.625, 0.625], [0.124, 0.625, 0.625]]}

What should be chosen as the most stable of them? Choose Q.

P.
{"formula": "PmDy3Er4", "functional": "PBE", "state": "relaxed", "dos_at_fermi_per_ev_atom": 1.426, "mass_density_g_cm3": 8.65, "spacegroup": "Pmmm", "lattice": [[3.346, 0.669, 0.947], [1.807, 7.544, 1.544], [0.910, -0.709, 10.526]], "species": ["Er", "Er", "Er", "Er", "Dy", "Dy", "Dy", "Pm"], "frac_coords": [[0.000, 0.752, 0.748], [0.497, 0.751, 0.252], [0.000, 0.249, 0.251], [0.503, 0.249, 0.749], [0.500, 0.000, 0.500], [0.000, 0.000, 0.000], [0.000, 0.500, 0.500], [0.500, 0.500, 0.000]]}

Q.
{"formula": "PmDy3Er4", "functional": "PBE", "state": "relaxed", "dos_at_fermi_per_ev_atom": 1.668, "mass_density_g_cm3": 8.51, "spacegroup": "Pmn2_1", "lattice": [[-2.484, 5.479, 1.715], [-3.349, -3.251, 5.534], [8.893, 1.982, 6.546]], "species": ["Pm", "Pm", "Dy", "Dy", "Dy", "Dy", "Dy", "Dy", "Er", "Er", "Er", "Er", "Er", "Er", "Er", "Er"], "frac_coords": [[0.148, 0.374, 0.000], [0.648, 0.626, 0.500], [0.647, 0.627, 0.000], [0.981, 0.627, 0.250], [0.481, 0.373, 0.250], [0.147, 0.373, 0.500], [0.481, 0.373, 0.750], [0.981, 0.627, 0.750], [0.148, 0.877, 0.000], [0.648, 0.123, 0.000], [0.981, 0.123, 0.251], [0.481, 0.877, 0.249], [0.148, 0.877, 0.500], [0.648, 0.123, 0.500], [0.481, 0.877, 0.751], [0.981, 0.123, 0.749]]}

What should be chosen as the most stable of them? Choose Q.